# BaGa2Sb | Alexandria via LeMat-Bulk | PBE | optimized geometry
# M_tot ... 0.00 μB per formula unit
# E_form (uncorrected) ... -0.319 eV/atom
# V ... 31.163 A^3/atom
data_BaGa2Sb
_chemical_formula_sum 'Ba4 Ga8 Sb4'
_cell_length_a 8.541
_cell_length_b 8.541
_cell_length_c 6.835
_cell_angle_alpha 90.00
_cell_angle_beta 90.00
_cell_angle_gamma 90.00
_symmetry_space_group_name_H-M 'I -4 2 d'
_symmetry_Int_Tables_number 122
_symmetry_space_group_name_Hall 'I -4 2bw'
loop_
_atom_site_label
_atom_site_type_symbol
_atom_site_fract_x
_atom_site_fract_y
_atom_site_fract_z
Ba1 Ba 0.000 0.000 0.000
Ga1 Ga 0.199 0.250 0.625
Sb1 Sb 0.000 0.000 0.500